VASP calculation (PBE-GGA) on an optimized crystal structure of Ho5ScZn4.

Cell: 3.5335 3.5335 18.8695 Å, 90.00 90.00 90.00°
Space group P4/mmm (No. 123)
One atom of each set of equivalent atoms:
Ho  0.0000  0.0000  0.0000
Ho  0.0000  0.0000  0.1885
Ho  0.0000  0.0000  0.3775
Sc  0.5000  0.5000  0.5000
Zn  0.5000  0.5000  0.0948
Zn  0.5000  0.5000  0.2835

## Properties
The value obtained for the total energy is -3.70 eV per atom. The value obtained for the total magnetization is 0.00 μB/f.u.


VASP calculation (PBE-GGA) on an optimized crystal structure of In2CoH.

Cell: 6.2856 6.2856 6.2856 Å, 90.00 90.00 90.00°
Space group Fm-3m (No. 225)
One atom of each set of equivalent atoms:
In  0.2500  0.2500  0.2500
Co  0.0000  0.0000  0.0000
H  0.0000  0.0000  0.5000

## Properties
The value obtained for the total energy is -3.42 eV per atom. Its excess energy over the best structure of this formula in the dataset is 39.0 kJ/mol of formula units. The value obtained for the total magnetization is 1.01 μB/f.u.


VASP calculation (PBE-GGA) on an optimized crystal structure of SmPuHg2.

Cell: 5.3568 5.3568 3.7710 Å, 90.00 90.00 90.00°
Space group P4/mmm (No. 123)
One atom of each set of equivalent atoms:
Sm  0.0000  0.0000  0.0000
Pu  0.5000  0.5000  0.0000
Hg  0.0000  0.5000  0.5000

## Properties
The value obtained for the total energy is -5.20 eV per atom. Its excess energy over the best structure of this formula in the dataset is 0.0 kJ/mol of formula units. The value obtained for the total magnetization is 6.22 μB/f.u.


Density of states at the Fermi level, respectively: 10.8, 14.2, 10.7 states/eV/cell.